The following is a DFT calculation (GGA-PBE) of an optimized crystal structure of PrHoPtRh.

Values from the calculation:
- spin magnetization (μB per cell) = 0.0
- calculated total energy (eV/atom) = -6.60
- offset from the most stable computed form (eV/f.u.) = 0.23
- DFT formation energy (meV/atom) = -912.6
- SG = F-43m, No. 216

Geometry as POSCAR:
```
PrHoPtRh
1.0
4.989 0.000 0.000
2.495 4.321 0.000
2.495 1.440 4.074
Pt Ho Rh Pr
1 1 1 1
Direct
0.750 0.750 0.750
0.000 0.000 0.000
0.250 0.250 0.250
0.500 0.500 0.500
```